Record 1
Below is crystalline ZrBe3 at its relaxed geometry, with properties calculated at the PBE-GGA level.

extended XYZ file:
```
8
Lattice="-0.359 2.906 3.677 -4.277 -1.712 0.936 1.918 -3.274 2.775" Properties=species:S:1:pos:R:3 pbc="T T T"
Zr 0.000 0.000 0.000
Zr -1.359 -1.040 3.694
Be -2.407 1.324 3.226
Be -2.228 -0.130 1.387
Be -2.249 -2.921 2.089
Be -0.110 -2.065 1.621
Be 0.300 0.635 2.532
Be 1.259 -1.003 3.920
```

**Energy of formation**: 0.492 eV/atom
**Energy above the most stable polymorph in this dataset**: 0.673 eV per atom

Record 2
Below is crystalline Zr2TlAs2 at its relaxed geometry, with properties calculated at the PBE-GGA level.

extended XYZ file:
```
10
Lattice="7.806 0.000 0.000 0.000 7.806 0.000 0.000 0.000 3.506" Properties=species:S:1:pos:R:3 pbc="T T T"
Tl 0.000 0.000 0.000
Tl 3.903 3.903 0.000
As 2.809 6.711 0.000
As 6.711 4.997 0.000
As 4.997 1.094 0.000
As 1.094 2.809 0.000
Zr 1.133 5.035 1.753
Zr 5.035 6.673 1.753
Zr 6.673 2.770 1.753
Zr 2.770 1.133 1.753
```

**Energy of formation**: -0.547 eV/atom
**Energy above the most stable polymorph in this dataset**: 0.061 eV per atom